Record 1
A geometry-optimized TlTcAs2 structure. Source: the Alexandria database, functional PBE. Values from VASP.

Summary:
The value obtained for the energy relative to the elements is 0.232 eV/atom. Its energy above the most stable polymorph in this dataset is 0.355 eV per atom. Its space-group type is P4mm (99). As for the density of states at the Fermi level: 0.371 states/eV/atom.

Structure (Quantum ESPRESSO input):
```
&SYSTEM
  ibrav = 0, nat = 4, ntyp = 3
/
ATOMIC_SPECIES
As 74.92 As.upf
Tc 98.00 Tc.upf
Tl 204.38 Tl.upf
CELL_PARAMETERS angstrom
-0.3518 2.7113 -1.8053
1.1177 -1.6051 -2.6284
-7.2264 -2.1212 -1.7776
ATOMIC_POSITIONS crystal
As 0.5000 0.5000 0.2906
As 0.0000 0.0000 0.0764
Tc 0.0000 0.0000 0.4164
Tl 0.5000 0.5000 0.7167
```



Record 2
A geometry-optimized Sc2In structure. Source: the Alexandria database, functional PBE. Values from VASP.

Summary:
The value obtained for the energy relative to the elements is -0.046 eV/atom. Its space-group type is Fm-3m (225). As for the density of states at the Fermi level: 1.553 states/eV/atom.

Structure (Quantum ESPRESSO input):
```
&SYSTEM
  ibrav = 0, nat = 12, ntyp = 2
/
ATOMIC_SPECIES
Sc 44.96 Sc.upf
In 114.82 In.upf
CELL_PARAMETERS angstrom
6.8939 0.0000 0.0000
0.0000 6.8939 0.0000
0.0000 0.0000 6.8939
ATOMIC_POSITIONS crystal
Sc 0.2501 0.2501 0.7499
Sc 0.2501 0.2499 0.2499
Sc 0.7499 0.7499 0.2501
Sc 0.2499 0.7499 0.2499
Sc 0.7499 0.7501 0.7501
Sc 0.7501 0.2501 0.7501
Sc 0.7501 0.2499 0.2501
Sc 0.2499 0.7501 0.7499
In 0.0000 0.0000 0.0000
In 0.5000 0.5000 0.0000
In 0.0000 0.5000 0.5000
In 0.5000 0.0000 0.5000
```



Record 3
A geometry-optimized CsBaBiI6 structure. Source: the Alexandria database, functional PBE. Values from VASP.

Summary:
The value obtained for the formation energy (no corrections) is -1140 meV per atom. Its space-group type is P312 (149). As for the density of states at the Fermi level: 0.000 states/eV/atom.

Structure (Quantum ESPRESSO input):
```
&SYSTEM
  ibrav = 0, nat = 9, ntyp = 4
/
ATOMIC_SPECIES
I 126.90 I.upf
Cs 132.91 Cs.upf
Ba 137.33 Ba.upf
Bi 208.98 Bi.upf
CELL_PARAMETERS angstrom
-7.8232 1.4486 -3.3135
-7.0440 -2.0173 4.5379
-0.0143 7.5709 3.3423
ATOMIC_POSITIONS crystal
I 0.0314 0.3551 0.2765
I 0.6135 0.3551 0.7235
I 0.6135 0.0314 0.2766
I 0.0314 0.6135 0.7234
I 0.3551 0.0314 0.7234
I 0.3551 0.6135 0.2765
Cs 0.0000 0.0000 0.0000
Ba 0.6666 0.6667 0.5000
Bi 0.3333 0.3333 0.5000
```



Record 4
A geometry-optimized CuReW4 structure. Source: the Alexandria database, functional PBE. Values from VASP.

Summary:
The value obtained for the energy relative to the elements is 0.581 eV/atom. Its space-group type is F-43m (216). As for the density of states at the Fermi level: 0.310 states/eV/atom.

Structure (Quantum ESPRESSO input):
```
&SYSTEM
  ibrav = 0, nat = 6, ntyp = 3
/
ATOMIC_SPECIES
Re 186.21 Re.upf
W 183.84 W.upf
Cu 63.55 Cu.upf
CELL_PARAMETERS angstrom
-2.0087 -4.7754 0.3884
-5.1407 -0.6305 0.4067
-2.6912 -2.0161 -3.9602
ATOMIC_POSITIONS crystal
Re 0.0000 0.0000 0.0000
W 0.3758 0.8725 0.3758
W 0.3758 0.3758 0.8725
W 0.8725 0.3758 0.3758
W 0.3758 0.3758 0.3758
Cu 0.7500 0.7500 0.7500
```



Record 5
A geometry-optimized KLiNiSb2 structure. Source: the Alexandria database, functional PBE. Values from VASP.

Summary:
The value obtained for the formation energy (no corrections) is 295 meV per atom. Its space-group type is P4/mmm (123). As for the density of states at the Fermi level: 0.757 states/eV/atom.

Structure (Quantum ESPRESSO input):
```
&SYSTEM
  ibrav = 0, nat = 5, ntyp = 4
/
ATOMIC_SPECIES
K 39.10 K.upf
Sb 121.76 Sb.upf
Li 6.94 Li.upf
Ni 58.69 Ni.upf
CELL_PARAMETERS angstrom
5.0887 0.0000 0.0000
0.0000 4.6411 0.0000
0.0000 0.0000 5.0887
ATOMIC_POSITIONS crystal
K 0.5000 0.5000 0.5000
Sb 0.5000 0.0000 0.0000
Sb 0.0000 0.0000 0.5000
Li 0.0000 0.0000 0.0000
Ni 0.0000 0.5000 0.0000
```



Record 6
A geometry-optimized CaTi2PRu structure. Source: the Alexandria database, functional PBE. Values from VASP.

Summary:
The value obtained for the energy relative to the elements is 1.815 eV/atom. Its space-group type is P4/mmm (123). As for the density of states at the Fermi level: 1.170 states/eV/atom.

Structure (Quantum ESPRESSO input):
```
&SYSTEM
  ibrav = 0, nat = 5, ntyp = 4
/
ATOMIC_SPECIES
Ru 101.07 Ru.upf
Ti 47.87 Ti.upf
P 30.97 P.upf
Ca 40.08 Ca.upf
CELL_PARAMETERS angstrom
-1.9755 -0.9235 -3.8943
-3.1539 -2.7859 2.2605
-2.7082 3.5060 0.5424
ATOMIC_POSITIONS crystal
Ru 0.5000 0.5000 0.5000
Ti 0.5000 0.0000 0.0000
Ti 0.0000 0.0000 0.5000
P 0.0000 0.5000 0.0000
Ca 0.0000 0.0000 0.0000
```



Record 7
A geometry-optimized YTm4Pd2 structure. Source: the Alexandria database, functional PBE. Values from VASP.

Summary:
The value obtained for the energy relative to the elements is -0.468 eV/atom. Its energy above the most stable polymorph in this dataset is 0.000 eV per atom. Its space-group type is P2_1/m (11). As for the density of states at the Fermi level: 1.241 states/eV/atom.

Structure (Quantum ESPRESSO input):
```
&SYSTEM
  ibrav = 0, nat = 14, ntyp = 3
/
ATOMIC_SPECIES
Tm 168.93 Tm.upf
Y 88.91 Y.upf
Pd 106.42 Pd.upf
CELL_PARAMETERS angstrom
-0.1652 6.0282 -1.8241
-0.4109 -2.2653 -7.4494
-7.2061 0.8107 3.3318
ATOMIC_POSITIONS crystal
Tm 0.7500 0.0202 0.3926
Tm 0.4970 0.5925 0.2309
Tm 0.5030 0.4075 0.7691
Tm 0.2500 0.2492 0.3481
Tm 0.0030 0.5925 0.2309
Tm 0.7500 0.7508 0.6519
Tm 0.9970 0.4075 0.7691
Tm 0.2500 0.9798 0.6074
Y 0.7500 0.1537 0.0209
Y 0.2500 0.8463 0.9791
Pd 0.7500 0.3816 0.4217
Pd 0.2500 0.6184 0.5783
Pd 0.7500 0.7544 0.0089
Pd 0.2500 0.2456 0.9911
```



Record 8
A geometry-optimized IrRuPt2 structure. Source: the Alexandria database, functional PBE. Values from VASP.

Summary:
The value obtained for the energy relative to the elements is 0.073 eV/atom. Its energy above the most stable polymorph in this dataset is 0.117 eV per atom. Its space-group type is Fmmm (69). As for the density of states at the Fermi level: 1.586 states/eV/atom.

Structure (Quantum ESPRESSO input):
```
&SYSTEM
  ibrav = 0, nat = 4, ntyp = 3
/
ATOMIC_SPECIES
Ru 101.07 Ru.upf
Ir 192.22 Ir.upf
Pt 195.08 Pt.upf
CELL_PARAMETERS angstrom
-1.0055 -3.6531 -2.9245
-0.1809 -4.0600 2.5284
-2.1044 4.2490 0.6353
ATOMIC_POSITIONS crystal
Ru 0.7500 0.2500 0.5000
Ir 0.2500 0.7500 0.5000
Pt 0.5000 0.5000 0.0000
Pt 0.0000 0.0000 0.0000
```



Number 1: total moment 0.0000 μB/atom. Number 2: total moment 0.0011 μB/atom. Number 3: total moment 0.0000 μB/atom. Number 4: total moment 0.0000 μB/atom. Number 5: total moment 0.0000 μB/atom. Number 6: total moment 0.0974 μB/atom. Number 7: total moment 0.0000 μB/atom. Number 8: total moment 0.0000 μB/atom.